Entry 1:
Density functional theory data (GGA-PBE) for a geometry-optimized Pa2TiSbN6 structure.

Cell and atoms, written as POSCAR:
```
Pa2TiSbN6
1.0
5.311 0.000 0.000
0.000 5.311 0.000
0.000 0.000 5.086
Pa Ti Sb N
2 1 1 6
Direct
0.000 0.500 0.000
0.500 0.000 0.000
0.000 0.000 0.586
0.500 0.500 0.573
0.000 0.000 0.216
0.247 0.247 0.747
0.247 0.753 0.747
0.500 0.500 0.177
0.753 0.247 0.747
0.753 0.753 0.747
```

Calculated values
Density of states at the Fermi level: 0.629 states/eV per atom

Entry 2:
Density functional theory data (GGA-PBE) for a geometry-optimized PaTiSb2N structure.

Cell and atoms, written as POSCAR:
```
PaTiSb2N
1.0
3.893 0.000 0.000
0.000 3.893 0.000
0.000 0.000 13.747
Pa Ti Sb N
2 2 4 2
Direct
0.250 0.250 0.087
0.750 0.750 0.913
0.250 0.250 0.575
0.750 0.750 0.425
0.250 0.250 0.370
0.250 0.250 0.783
0.750 0.750 0.217
0.750 0.750 0.630
0.250 0.750 0.000
0.750 0.250 0.000
```

Calculated values
Density of states at the Fermi level: 0.645 states/eV per atom

Entry 3:
Density functional theory data (GGA-PBE) for a geometry-optimized PaTlSbN structure.

Cell and atoms, written as POSCAR:
```
PaTlSbN
1.0
4.119 0.000 0.000
0.000 4.119 0.000
0.000 0.000 11.221
Pa Tl Sb N
2 2 2 2
Direct
0.250 0.250 0.097
0.750 0.750 0.903
0.250 0.750 0.500
0.750 0.250 0.500
0.250 0.250 0.753
0.750 0.750 0.247
0.250 0.750 0.000
0.750 0.250 0.000
```

Calculated values
Density of states at the Fermi level: 0.652 states/eV per atom

Entry 4:
Density functional theory data (GGA-PBE) for a geometry-optimized TmPaSb2N structure.

Cell and atoms, written as POSCAR:
```
TmPaSb2N
1.0
4.088 0.000 0.000
0.000 4.088 0.000
0.000 0.000 14.097
Tm Pa Sb N
2 2 4 2
Direct
0.250 0.250 0.085
0.750 0.750 0.915
0.250 0.250 0.579
0.750 0.750 0.421
0.250 0.250 0.301
0.250 0.250 0.861
0.750 0.750 0.139
0.750 0.750 0.699
0.250 0.750 0.500
0.750 0.250 0.500
```

Calculated values
Density of states at the Fermi level: 0.551 states/eV per atom

Entry 5:
Density functional theory data (GGA-PBE) for a geometry-optimized UPaSb2N structure.

Cell and atoms, written as POSCAR:
```
UPaSb2N
1.0
3.991 0.000 0.000
0.000 3.991 0.000
0.000 0.000 14.145
U Pa Sb N
2 2 4 2
Direct
0.250 0.250 0.078
0.750 0.750 0.922
0.250 0.250 0.574
0.750 0.750 0.426
0.250 0.250 0.340
0.250 0.250 0.805
0.750 0.750 0.195
0.750 0.750 0.660
0.250 0.750 0.000
0.750 0.250 0.000
```

Calculated values
Density of states at the Fermi level: 1.370 states/eV per atom

Entry 6:
Density functional theory data (GGA-PBE) for a geometry-optimized YPaSb2N structure.

Cell and atoms, written as POSCAR:
```
YPaSb2N
1.0
4.112 0.000 0.000
0.000 4.112 0.000
0.000 0.000 14.221
Y Pa Sb N
2 2 4 2
Direct
0.250 0.250 0.087
0.750 0.750 0.913
0.250 0.250 0.577
0.750 0.750 0.423
0.250 0.250 0.304
0.250 0.250 0.860
0.750 0.750 0.140
0.750 0.750 0.696
0.250 0.750 0.500
0.750 0.250 0.500
```

Calculated values
Density of states at the Fermi level: 0.598 states/eV per atom

Entry 7:
Density functional theory data (GGA-PBE) for a geometry-optimized Pa2ZnSbN5 structure.

Cell and atoms, written as POSCAR:
```
Pa2ZnSbN5
1.0
1.778 -7.168 0.000
1.778 7.168 0.000
0.000 0.000 11.059
Pa Zn Sb N
4 2 2 10
Direct
0.081 0.919 0.500
0.195 0.805 0.922
0.805 0.195 0.422
0.919 0.081 0.000
0.453 0.547 0.274
0.547 0.453 0.774
0.176 0.824 0.220
0.824 0.176 0.720
0.039 0.961 0.874
0.248 0.752 0.529
0.306 0.694 0.291
0.352 0.648 0.852
0.464 0.536 0.094
0.536 0.464 0.594
0.648 0.352 0.352
0.694 0.306 0.791
0.752 0.248 0.029
0.961 0.039 0.374
```

Entry 8:
Density functional theory data (GGA-PBE) for a geometry-optimized PaZnSb2N structure.

Cell and atoms, written as POSCAR:
```
PaZnSb2N
1.0
3.977 0.000 0.000
0.000 3.977 0.000
0.000 0.000 14.268
Pa Zn Sb N
2 2 4 2
Direct
0.250 0.250 0.082
0.750 0.750 0.918
0.250 0.250 0.617
0.750 0.750 0.383
0.250 0.250 0.427
0.250 0.250 0.799
0.750 0.750 0.201
0.750 0.750 0.573
0.250 0.750 0.000
0.750 0.250 0.000
```

Calculated values
Density of states at the Fermi level: 0.468 states/eV per atom

Entry 9:
Density functional theory data (GGA-PBE) for a geometry-optimized Pa2ZnSb2N2 structure.

Cell and atoms, written as POSCAR:
```
Pa2ZnSb2N2
1.0
11.426 0.000 0.000
0.000 3.964 0.000
-4.038 0.000 6.231
Pa Zn Sb N
4 2 4 4
Direct
0.197 0.000 0.269
0.303 0.500 0.731
0.697 0.500 0.269
0.803 0.000 0.731
0.000 0.000 0.500
0.500 0.500 0.500
0.066 0.500 0.839
0.434 0.000 0.161
0.566 0.000 0.839
0.934 0.500 0.161
0.208 0.000 0.581
0.292 0.500 0.419
0.708 0.500 0.581
0.792 0.000 0.419
```

Calculated values
Density of states at the Fermi level: 0.123 states/eV per atom

Entry 10:
Density functional theory data (GGA-PBE) for a geometry-optimized ZrPaSb2N structure.

Cell and atoms, written as POSCAR:
```
ZrPaSb2N
1.0
3.952 0.000 0.000
0.000 3.952 0.000
0.000 0.000 14.026
Zr Pa Sb N
2 2 4 2
Direct
0.250 0.250 0.075
0.750 0.750 0.925
0.250 0.250 0.583
0.750 0.750 0.417
0.250 0.250 0.290
0.250 0.250 0.859
0.750 0.750 0.141
0.750 0.750 0.710
0.250 0.750 0.500
0.750 0.250 0.500
```

Calculated values
Density of states at the Fermi level: 0.507 states/eV per atom

Entry 11:
Density functional theory data (GGA-PBE) for a geometry-optimized ScPa3N structure.

Cell and atoms, written as POSCAR:
```
ScPa3N
1.0
4.782 0.000 0.000
0.000 4.782 0.000
0.000 0.000 4.782
Sc Pa N
1 3 1
Direct
0.000 0.000 0.000
0.000 0.500 0.500
0.500 0.000 0.500
0.500 0.500 0.000
0.500 0.500 0.500
```

Calculated values
Density of states at the Fermi level: 1.280 states/eV per atom

Entry 12:
Density functional theory data (GGA-PBE) for a geometry-optimized Sc3PaN4 structure.

Cell and atoms, written as POSCAR:
```
Sc3PaN4
1.0
5.690 0.000 0.000
0.000 6.605 0.000
-1.907 0.000 5.378
Sc Pa N
6 2 8
Direct
0.000 0.117 0.250
0.000 0.366 0.750
0.000 0.634 0.250
0.000 0.883 0.750
0.500 0.119 0.750
0.500 0.881 0.250
0.500 0.369 0.250
0.500 0.631 0.750
0.245 0.372 0.499
0.245 0.628 0.999
0.247 0.123 0.001
0.247 0.877 0.501
0.753 0.123 0.499
0.753 0.877 0.999
0.755 0.372 0.001
0.755 0.628 0.501
```

Calculated values
Density of states at the Fermi level: 0.461 states/eV per atom

Number 1: electronic total energy -8.8778 eV/atom, calculated volume 143 Å³ per cell. Number 2: electronic total energy -7.7121 eV/atom, calculated volume 208 Å³ per cell. Number 3: electronic total energy -6.8616 eV/atom, calculated volume 190 Å³ per cell. Number 4: electronic total energy -7.1351 eV/atom, calculated volume 236 Å³ per cell. Number 5: electronic total energy -8.1395 eV/atom, calculated volume 225 Å³ per cell. Number 6: electronic total energy -7.5445 eV/atom, calculated volume 240 Å³ per cell. Number 7: electronic total energy -8.0531 eV/atom, calculated volume 282 Å³ per cell. Number 8: electronic total energy -6.1476 eV/atom, calculated volume 226 Å³ per cell. Number 9: electronic total energy -7.3784 eV/atom, calculated volume 282 Å³ per cell. Number 10: electronic total energy -7.9463 eV/atom, calculated volume 219 Å³ per cell. Number 11: electronic total energy -9.1437 eV/atom, calculated volume 109 Å³ per cell. Number 12: electronic total energy -9.5275 eV/atom, calculated volume 202 Å³ per cell.